This record from the Alexandria database describes a relaxed ZrMnSe2 crystal. The functional is PBE-GGA.

Values from the calculation:
Symmetry   Amm2, No. 38
Formation energy from raw total energies   -0.8392 eV per atom

a b c (Å): 3.632 6.390 6.390
angles (deg): 33.01 90.00 90.00
Fractional coordinates of all 4 atoms:
Zr: 0.000 0.000 0.000
Mn: 0.500 0.194 0.194
Se: 0.000 0.668 0.668
Se: 0.500 0.406 0.406

This record from the Alexandria database describes a relaxed ZrMnSe2 crystal. The functional is PBE-GGA.

Values from the calculation:
Symmetry   Fm-3m, No. 225
Formation energy from raw total energies   -0.2698 eV per atom

a b c (Å): 4.566 4.566 4.566
angles (deg): 60.00 60.00 60.00
Fractional coordinates of all 4 atoms:
Zr: 0.000 0.000 0.000
Mn: 0.500 0.500 0.500
Se: 0.250 0.250 0.250
Se: 0.750 0.750 0.750

no.,E (eV for the cell shown)
1,-28.044
2,-25.766